A relaxed structure of Pm3Pu4Ru4. Source: Alexandria, functional PBE.

abc: 8.5637 8.5637 8.5637
angles: 157.67 107.48 76.97
With the nearest neighbours (Å) after each atom.
Sites, in units of the cell vectors:
1 Pm 0.0000 0.0000 0.0000  2 Ru 2.79
2 Pm 0.3888 0.8888 0.5000  6 Ru 2.93-3.23, 1 Pm 2.98
3 Pm 0.6112 0.1112 0.5000  6 Ru 2.93-3.23, 1 Pm 2.98
4 Pu 0.0304 0.3095 0.7209  2 Pu 2.38, 1 Ru 2.60
5 Pu 0.4114 0.6905 0.7209  2 Pu 2.38, 1 Ru 2.60
6 Pu 0.5886 0.3095 0.2791  2 Pu 2.38, 1 Ru 2.60
7 Pu 0.9696 0.6905 0.2791  2 Pu 2.38, 1 Ru 2.60
8 Ru 0.2082 0.2082 0.0000  3 Pm 2.79-2.93, 4 Pu 2.79
9 Ru 0.2694 0.5000 0.7694  2 Pu 2.60
10 Ru 0.7306 0.5000 0.2306  2 Pu 2.60
11 Ru 0.7918 0.7918 0.0000  3 Pm 2.79-2.93, 4 Pu 2.79

Calculated values
- symmetry = Immm (71)
- formation energy from the elements (eV/atom) = 0.034
- magnetization (μB per cell) = 0.00
- total energy (eV/atom) = -9.85
- ρ (g/cm3) = 13.39

***

A relaxed structure of CsTmAlS4. Source: Alexandria, functional PBE.

abc: 6.8291 5.6875 9.8770
angles: 90.00 104.75 90.00
With the nearest neighbours (Å) after each atom.
Sites, in units of the cell vectors:
1 Cs 0.2457 0.2500 0.0388  7 S 3.40-3.78
2 Cs 0.7543 0.7500 0.9612  7 S 3.40-3.78
3 Tm 0.2532 0.2500 0.5557  6 S 2.71-2.91
4 Tm 0.7468 0.7500 0.4443  6 S 2.71-2.91
5 Al 0.2587 0.7500 0.3423  4 S 2.20-2.29
6 Al 0.7413 0.2500 0.6577  4 S 2.20-2.29
7 S 0.0011 0.5140 0.6873  1 Al 2.29
8 S 0.0011 0.9860 0.6873  1 Al 2.29
9 S 0.4230 0.7500 0.5678  1 Al 2.22
10 S 0.4577 0.7500 0.1993  1 Al 2.20
11 S 0.5423 0.2500 0.8007  1 Al 2.20
12 S 0.5770 0.2500 0.4322  1 Al 2.22
13 S 0.9989 0.0140 0.3127  1 Al 2.29
14 S 0.9989 0.4860 0.3127  1 Al 2.29

Calculated values
- symmetry = P2_1/m (11)
- ΔE_f (raw) (eV/atom) = -1.371
- magnetization (μB per cell) = 0.37
- total energy (eV/atom) = -5.02
- ρ (g/cm3) = 4.09

***

A relaxed structure of CrIn4Pt. Source: Alexandria, functional PBE.

abc: 5.8227 5.8227 5.8227
angles: 60.00 60.00 60.00
With the nearest neighbours (Å) after each atom.
Sites, in units of the cell vectors:
1 Cr 0.0000 0.0000 0.0000  12 In 3.41, 4 Pt 3.57
2 In 0.1255 0.6248 0.6248  6 In 2.91
3 In 0.6248 0.1255 0.6248  6 In 2.91
4 In 0.6248 0.6248 0.1255  6 In 2.91
5 In 0.6248 0.6248 0.6248  6 In 2.91
6 Pt 0.2500 0.2500 0.2500  12 In 3.41, 4 Cr 3.57

Calculated values
- symmetry = F-43m (216)
- formation energy from the elements (eV/atom) = 0.566
- magnetization (μB per cell) = 4.44
- total energy (eV/atom) = -3.87
- ρ (g/cm3) = 8.40

***

A relaxed structure of Tb3PmTl4. Source: Alexandria, functional PBE.

abc: 3.5427 7.2608 18.6917
angles: 90.00 90.00 90.00
With the nearest neighbours (Å) after each atom.
Sites, in units of the cell vectors:
1 Tb 0.0000 0.0000 0.0000  8 Tl 3.36, 2 Tb 3.54
2 Tb 0.0000 0.5000 0.2196  6 Tl 3.22-3.25, 2 Tb 3.54
3 Tb 0.0000 0.5000 0.7804  6 Tl 3.22-3.25, 2 Tb 3.54
4 Tb 0.5000 0.0000 0.2804  6 Tl 3.22-3.25, 2 Tb 3.54
5 Tb 0.5000 0.0000 0.7196  6 Tl 3.22-3.25, 2 Tb 3.54
6 Tb 0.5000 0.5000 0.5000  8 Tl 3.36, 2 Tb 3.54
7 Pm 0.0000 0.0000 0.5000  4 Tl 3.17, 2 Pm 3.54
8 Pm 0.5000 0.5000 0.0000  4 Tl 3.17, 2 Pm 3.54
9 Tl 0.0000 0.2860 0.3720  1 Tl 3.11, 1 Pm 3.17, 5 Tb 3.22-3.36
10 Tl 0.0000 0.2860 0.6280  1 Tl 3.11, 1 Pm 3.17, 5 Tb 3.22-3.36
11 Tl 0.0000 0.7140 0.3720  1 Tl 3.11, 1 Pm 3.17, 5 Tb 3.22-3.36
12 Tl 0.0000 0.7140 0.6280  1 Tl 3.11, 1 Pm 3.17, 5 Tb 3.22-3.36
13 Tl 0.5000 0.2140 0.1280  1 Tl 3.11, 1 Pm 3.17, 5 Tb 3.22-3.36
14 Tl 0.5000 0.2140 0.8720  1 Tl 3.11, 1 Pm 3.17, 5 Tb 3.22-3.36
15 Tl 0.5000 0.7860 0.1280  1 Tl 3.11, 1 Pm 3.17, 5 Tb 3.22-3.36
16 Tl 0.5000 0.7860 0.8720  1 Tl 3.11, 1 Pm 3.17, 5 Tb 3.22-3.36

Calculated values
- symmetry = Immm (71)
- formation energy from the elements (eV/atom) = -0.228
- energy above the most stable polymorph in this dataset (kJ/mol of atoms) = 13.05
- magnetization (μB per cell) = 0.22
- total energy (eV/atom) = -3.74
- ρ (g/cm3) = 9.94

***

A relaxed structure of TaAl2Se. Source: Alexandria, functional PBE.

abc: 3.4431 3.5068 5.6596
angles: 90.00 90.00 90.00
With the nearest neighbours (Å) after each atom.
Sites, in units of the cell vectors:
1 Ta 0.0000 0.0000 0.0000  8 Al 2.79, 2 Se 2.83
2 Al 0.5000 0.5000 0.2349  1 Al 2.66, 4 Ta 2.79, 4 Se 2.88
3 Al 0.5000 0.5000 0.7651  1 Al 2.66, 4 Ta 2.79, 4 Se 2.88
4 Se 0.0000 0.0000 0.5000  2 Ta 2.83, 8 Al 2.88

Calculated values
- symmetry = Pmmm (47)
- ΔE_f (raw) (eV/atom) = -0.059
- magnetization (μB per cell) = 0.00
- total energy (eV/atom) = -5.76
- ρ (g/cm3) = 7.63

***

A relaxed structure of Ca2TlAs2. Source: Alexandria, functional PBE.

abc: 5.1594 5.1594 10.8897
angles: 90.00 90.00 90.00
With the nearest neighbours (Å) after each atom.
Sites, in units of the cell vectors:
1 Ca 0.0000 0.5000 0.2500  4 As 2.95
2 Ca 0.0000 0.5000 0.7500  4 As 2.95
3 Ca 0.5000 0.0000 0.2500  4 As 2.95
4 Ca 0.5000 0.0000 0.7500  4 As 2.95
5 Tl 0.0000 0.0000 0.0000  8 Ca 3.75, 10 As 3.87-4.16
6 Tl 0.5000 0.5000 0.5000  8 Ca 3.75, 10 As 3.87-4.16
7 As 0.0000 0.0000 0.3824  1 As 2.56
8 As 0.0000 0.0000 0.6176  1 As 2.56
9 As 0.5000 0.5000 0.1176  1 As 2.56
10 As 0.5000 0.5000 0.8824  1 As 2.56

Calculated values
- symmetry = I4/mmm (139)
- formation energy from the elements (eV/atom) = -0.596
- energy above the most stable polymorph in this dataset (kJ/mol of atoms) = 12.49
- magnetization (μB per cell) = 0.00
- total energy (eV/atom) = -3.73
- ρ (g/cm3) = 4.98

***

A relaxed structure of CaDy2ThP4. Source: Alexandria, functional PBE.

abc: 7.0333 4.0925 7.0784
angles: 90.00 109.19 90.00
With the nearest neighbours (Å) after each atom.
Sites, in units of the cell vectors:
1 Ca 0.0000 0.0000 0.0000  6 P 2.91-2.94
2 Dy 0.0000 0.5000 0.5000  6 P 2.87
3 Dy 0.5000 0.0000 0.5000  6 P 2.84-2.85
4 Th 0.5000 0.5000 0.0000  6 P 2.88-2.91
5 P 0.2498 0.0000 0.7435  3 Dy 2.84-2.87, 2 Th 2.91, 1 Ca 2.91
6 P 0.2573 0.5000 0.2581  3 Dy 2.85-2.87, 1 Th 2.88, 2 Ca 2.94
7 P 0.7427 0.5000 0.7419  3 Dy 2.85-2.87, 1 Th 2.88, 2 Ca 2.94
8 P 0.7502 0.0000 0.2565  3 Dy 2.84-2.87, 2 Th 2.91, 1 Ca 2.91

Calculated values
- symmetry = P2/m (10)
- formation energy from the elements (eV/atom) = -1.485
- magnetization (μB per cell) = 0.00
- total energy (eV/atom) = -6.52
- ρ (g/cm3) = 6.22

***

A relaxed structure of ScRe2Hg. Source: Alexandria, functional PBE.

abc: 3.2739 4.6438 9.2964
angles: 90.00 90.00 90.00
With the nearest neighbours (Å) after each atom.
Sites, in units of the cell vectors:
1 Sc 0.0000 0.0000 0.0000  2 Re 2.75, 4 Sc 2.84, 2 Hg 3.02
2 Sc 0.5000 0.5000 0.0000  2 Re 2.75, 4 Sc 2.84, 2 Hg 3.02
3 Re 0.0000 0.0000 0.5452  6 Re 2.60-2.84
4 Re 0.0000 0.5000 0.7619  6 Re 2.60-2.84, 2 Sc 2.75
5 Re 0.5000 0.0000 0.7619  6 Re 2.60-2.84, 2 Sc 2.75
6 Re 0.5000 0.5000 0.5452  6 Re 2.60-2.84
7 Hg 0.0000 0.5000 0.2736  4 Hg 2.84, 2 Re 3.01, 2 Sc 3.02
8 Hg 0.5000 0.0000 0.2736  4 Hg 2.84, 2 Re 3.01, 2 Sc 3.02

Calculated values
- symmetry = Cmm2 (35)
- formation energy from the elements (eV/atom) = 0.294
- magnetization (μB per cell) = 0.00
- total energy (eV/atom) = -7.59
- ρ (g/cm3) = 14.52

***

A relaxed structure of TiNbPtRh. Source: Alexandria, functional PBE.

abc: 3.9012 3.9012 8.3273
angles: 90.00 90.00 90.00
With the nearest neighbours (Å) after each atom.
Sites, in units of the cell vectors:
1 Ti 0.0000 0.0000 0.0000  4 Pt 2.76, 4 Nb 2.85, 4 Rh 2.85
2 Ti 0.5000 0.5000 0.5000  4 Pt 2.76, 4 Nb 2.85, 4 Rh 2.85
3 Nb 0.0000 0.5000 0.2500  4 Rh 2.76, 4 Pt 2.85, 4 Ti 2.85
4 Nb 0.5000 0.0000 0.7500  4 Rh 2.76, 4 Pt 2.85, 4 Ti 2.85
5 Pt 0.0000 0.0000 0.5000  4 Ti 2.76, 4 Nb 2.85, 4 Rh 2.85
6 Pt 0.5000 0.5000 0.0000  4 Ti 2.76, 4 Nb 2.85, 4 Rh 2.85
7 Rh 0.0000 0.5000 0.7500  4 Nb 2.76, 4 Ti 2.85, 4 Pt 2.85
8 Rh 0.5000 0.0000 0.2500  4 Nb 2.76, 4 Pt 2.85, 4 Ti 2.85

Calculated values
- symmetry = I-4m2 (119)
- formation energy from the elements (eV/atom) = -0.601
- energy above the most stable polymorph in this dataset (kJ/mol of atoms) = 0.00
- magnetization (μB per cell) = 0.00
- total energy (eV/atom) = -8.44
- ρ (g/cm3) = 11.50

***

A relaxed structure of Ba4ReSe. Source: Alexandria, functional PBE.

abc: 6.9245 6.9245 6.9245
angles: 60.00 60.00 60.00
With the nearest neighbours (Å) after each atom.
Sites, in units of the cell vectors:
1 Ba 0.1246 0.1246 0.1246  6 Ba 3.45-3.47
2 Ba 0.1246 0.1246 0.6261  6 Ba 3.45-3.47
3 Ba 0.1246 0.6261 0.1246  6 Ba 3.45-3.47
4 Ba 0.6261 0.1246 0.1246  6 Ba 3.45-3.47
5 Re 0.7500 0.7500 0.7500  12 Ba 4.06, 4 Se 4.24
6 Se 0.5000 0.5000 0.5000  12 Ba 4.06, 4 Re 4.24

Calculated values
- symmetry = F-43m (216)
- ΔE_f (raw) (eV/atom) = 0.985
- magnetization (μB per cell) = 1.50
- total energy (eV/atom) = -2.95
- ρ (g/cm3) = 5.76

***

A relaxed structure of LiHgSb2S4. Source: Alexandria, functional PBE.

abc: 6.7964 5.6274 6.8761
angles: 64.96 48.60 66.44
With the nearest neighbours (Å) after each atom.
Sites, in units of the cell vectors:
1 Li 0.0000 0.0000 0.0000  4 S 2.61-2.65
2 Hg 0.4893 0.4893 0.5107  6 S 2.75-3.00
3 Sb 0.2555 0.2555 0.2445  4 S 2.61-2.78
4 Sb 0.7555 0.7555 0.7445  4 S 2.61-2.78
5 S 0.0043 0.5288 0.9957  1 Li 2.65, 2 Hg 2.75-2.90, 2 Sb 2.78
6 S 0.2791 0.8134 0.1866  2 Sb 2.61, 1 Li 2.61
7 S 0.5288 0.0043 0.4712  1 Li 2.65, 2 Hg 2.75-2.90, 2 Sb 2.78
8 S 0.8134 0.2791 0.7209  2 Sb 2.61, 1 Li 2.61

Calculated values
- symmetry = Fmm2 (42)
- ΔE_f (raw) (eV/atom) = -0.316
- magnetization (μB per cell) = 0.00
- total energy (eV/atom) = -3.69
- ρ (g/cm3) = 5.47

***

A relaxed structure of Zr4CrRh. Source: Alexandria, functional PBE.

abc: 5.6153 5.6153 5.6153
angles: 60.00 60.00 60.00
With the nearest neighbours (Å) after each atom.
Sites, in units of the cell vectors:
1 Zr 0.1253 0.1253 0.1253  6 Zr 2.80-2.81
2 Zr 0.1253 0.1253 0.6240  6 Zr 2.80-2.81
3 Zr 0.1253 0.6240 0.1253  6 Zr 2.80-2.81
4 Zr 0.6240 0.1253 0.1253  6 Zr 2.80-2.81
5 Cr 0.7500 0.7500 0.7500  12 Zr 3.29, 4 Rh 3.44
6 Rh 0.5000 0.5000 0.5000  12 Zr 3.29, 4 Cr 3.44

Calculated values
- symmetry = F-43m (216)
- formation energy from the elements (eV/atom) = 0.524
- magnetization (μB per cell) = 4.09
- total energy (eV/atom) = -8.00
- ρ (g/cm3) = 6.89

***

> Look up the ρ of the third one.

8.40 g/cm3

***

> Which formula does entry 11 have?

LiHgSb2S4